Compound: SbMo3Cl
Source: the Alexandria database
Functional: GGA-PBE
Structure: optimized geometry

Computed properties:
- Formation energy from raw total energies: 1037 meV/atom
- Space group: No. 221
- Relative energy among the computed polymorphs: 0.000 eV/atom

Unit cell a=4.4823 b=4.4823 c=4.4823 alpha=90.00 beta=90.00 gamma=90.00
Last column: nearest neighbours and their distance in Å.
Element x y z (fractional)
Sb 0.5000 0.5000 0.5000  12 Mo 3.17
Mo 0.0000 0.5000 0.0000  2 Cl 2.24
Mo 0.0000 0.0000 0.5000  2 Cl 2.24
Mo 0.5000 0.0000 0.0000  2 Cl 2.24
Cl 0.0000 0.0000 0.0000  6 Mo 2.24